Density functional theory data (PBE) for a relaxed structure of Pm3Ho4.

Lattice parameters (Å, degrees): 3.5766 3.5766 17.9116 95.73 95.73 90.00
Element x y z (fractional)
Ho (0.5717, 0.5717, 0.1435)
Pm (0.0000, 0.0000, 0.0000)
Ho (0.8588, 0.8588, 0.7176)
Pm (0.7130, 0.7130, 0.4260)
Ho (0.4283, 0.4283, 0.8565)
Ho (0.1412, 0.1412, 0.2824)
Pm (0.2870, 0.2870, 0.5740)

Output
* Fermi-level density of states: 1.35 states/eV/atom
* E: -4.631 eV/atom
* SG: I4/mmm, No. 139

Density functional theory data (PBE) for a relaxed structure of LiMn2Br6.

Lattice parameters (Å, degrees): 7.1178 9.0764 9.0764 83.48 79.95 79.95
Element x y z (fractional)
Br (0.8765, 0.1899, 0.0369)
Mn (0.2955, 0.2083, 0.3848)
Br (0.8788, 0.8628, 0.3755)
Li (0.2500, 0.1098, 0.8902)
Br (0.3765, 0.0369, 0.1899)
Mn (0.2045, 0.6152, 0.7917)
Br (0.9038, 0.5603, 0.7179)
Br (0.3788, 0.3755, 0.8628)
Mn (0.7955, 0.3848, 0.2083)
Li (0.7500, 0.8902, 0.1098)
Br (0.0962, 0.4397, 0.2821)
Br (0.6235, 0.9631, 0.8101)
Br (0.1212, 0.1372, 0.6245)
Mn (0.7045, 0.7917, 0.6152)
Br (0.5962, 0.2821, 0.4397)
Br (0.1235, 0.8101, 0.9631)
Br (0.6212, 0.6245, 0.1372)
Br (0.4038, 0.7179, 0.5603)

Output
* Fermi-level density of states: 0.80 states/eV/atom
* SG: C2/c, No. 15
* E above lowest polymorph: 0.028 eV per atom
* uncorrected formation energy: -78.69 kJ/mol of atoms

Density functional theory data (PBE) for a relaxed structure of Sr4LiPm3Te8.

Lattice parameters (Å, degrees): 9.1364 9.2063 9.1369 119.75 120.00 90.00
Element x y z (fractional)
Te (0.2428, 0.7334, 0.4855)
Te (0.7574, 0.2667, 0.0093)
Li (0.0000, 0.5000, 0.0000)
Pm (0.0000, 0.5000, 0.5000)
Te (0.7480, 0.7333, 0.9907)
Pm (0.5000, 0.5000, 0.5000)
Sr (0.0000, 0.0000, 0.5000)
Te (0.7460, 0.7381, 0.4920)
Sr (0.5000, 0.0000, 0.0000)
Te (0.7572, 0.2666, 0.5145)
Sr (0.0000, 0.0000, 0.0000)
Sr (0.5000, 0.0000, 0.5000)
Te (0.2540, 0.2619, 0.5080)
Pm (0.5000, 0.5000, 0.0000)
Te (0.2426, 0.7333, 0.9907)
Te (0.2520, 0.2667, 0.0093)

Output
* Fermi-level density of states: 0.28 states/eV/atom
* SG: R-3m, No. 166
* uncorrected formation energy: -147.71 kJ/mol of atoms

Density functional theory data (PBE) for a relaxed structure of Rb2SbSe.

Lattice parameters (Å, degrees): 12.4430 12.4430 9.2425 47.69 47.69 90.00
Element x y z (fractional)
Rb (0.8750, 0.6974, 0.7500)
Rb (0.3026, 0.6250, 0.2500)
Se (0.5000, 0.5000, 0.0000)
Sb (0.0000, 0.0000, 0.0000)
Se (0.2500, 0.7500, 0.5000)
Rb (0.3750, 0.5526, 0.7500)
Rb (0.4474, 0.1250, 0.2500)
Sb (0.7500, 0.2500, 0.5000)

Output
* Fermi-level density of states: 1.15 states/eV/atom
* SG: I-42d, No. 122
* E above lowest polymorph: 0.000 eV per atom
* uncorrected formation energy: -40.92 kJ/mol of atoms

Density functional theory data (PBE) for a relaxed structure of CsAg2Se2.

Lattice parameters (Å, degrees): 5.2986 5.2986 7.1033 68.10 68.10 90.00
Element x y z (fractional)
Ag (0.7110, 0.7110, 0.5781)
Se (0.7500, 0.2500, 0.5000)
Se (0.2500, 0.7500, 0.5000)
Cs (0.0000, 0.0000, 0.0000)
Ag (0.2890, 0.2890, 0.4219)

Output
* Fermi-level density of states: 0.22 states/eV/atom
* SG: I4/mmm, No. 139
* E above lowest polymorph: 0.060 eV per atom
* uncorrected formation energy: -38.09 kJ/mol of atoms

Density functional theory data (PBE) for a relaxed structure of Sc2Mn2Sb.

Lattice parameters (Å, degrees): 8.8809 8.8809 8.8809 158.67 158.67 30.35
Element x y z (fractional)
Sb (0.0000, 0.0000, 0.0000)
Mn (0.2500, 0.7500, 0.5000)
Mn (0.7500, 0.2500, 0.5000)
Sc (0.3795, 0.3795, 0.0000)
Sc (0.6205, 0.6205, 0.0000)

Output
* Fermi-level density of states: 1.16 states/eV/atom
* SG: I4/mmm, No. 139
* E above lowest polymorph: 0.149 eV per atom
* uncorrected formation energy: -4.20 kJ/mol of atoms

Density functional theory data (PBE) for a relaxed structure of RbMnNi.

Lattice parameters (Å, degrees): 4.0929 4.0929 10.6137 90.00 90.00 90.00
Element x y z (fractional)
Rb (0.5000, 0.0000, 0.7992)
Ni (0.0000, 0.5000, 0.6226)
Mn (0.5000, 0.5000, 0.5000)
Rb (0.0000, 0.5000, 0.2008)
Ni (0.5000, 0.0000, 0.3774)
Mn (0.0000, 0.0000, 0.5000)

Output
* Fermi-level density of states: 0.63 states/eV/atom
* SG: P4/nmm, No. 129
* E above lowest polymorph: 0.072 eV per atom

Density functional theory data (PBE) for a relaxed structure of LiMnCr.

Lattice parameters (Å, degrees): 6.8451 6.6923 2.4216 83.28 76.15 20.57
Element x y z (fractional)
Cr (0.9891, 0.9891, 0.0109)
Li (0.6695, 0.6695, 0.3305)
Mn (0.3414, 0.3414, 0.6586)

Output
* Fermi-level density of states: 1.07 states/eV/atom
* SG: Fmm2, No. 42
* E above lowest polymorph: 0.000 eV per atom

Density functional theory data (PBE) for a relaxed structure of Ca2GeSbO6.

Lattice parameters (Å, degrees): 4.8822 5.3729 5.3729 90.00 90.00 90.00
Element x y z (fractional)
Ge (0.5848, 0.0000, 0.0000)
Ca (0.0106, 0.5000, 0.0000)
Ca (0.0106, 0.0000, 0.5000)
O (0.1832, 0.5000, 0.5000)
O (0.7119, 0.7612, 0.2388)
O (0.7119, 0.2388, 0.2388)
O (0.2236, 0.0000, 0.0000)
Sb (0.5865, 0.5000, 0.5000)
O (0.7119, 0.7612, 0.7612)
O (0.7119, 0.2388, 0.7612)

Output
* Fermi-level density of states: 0.09 states/eV/atom
* SG: P4mm, No. 99
* uncorrected formation energy: -196.90 kJ/mol of atoms

Density functional theory data (PBE) for a relaxed structure of Na2LaAu9.

Lattice parameters (Å, degrees): 5.5773 5.5773 10.0236 73.85 73.85 60.00
Element x y z (fractional)
Au (0.5857, 0.0836, 0.7449)
Au (0.9164, 0.4143, 0.2551)
Na (0.1467, 0.1467, 0.5598)
Au (0.0836, 0.5857, 0.7449)
Au (0.5000, 0.5000, 0.5000)
Au (0.4143, 0.9164, 0.2551)
Au (0.5857, 0.5857, 0.7449)
Au (0.3323, 0.3323, 0.0031)
Au (0.4143, 0.4143, 0.2551)
La (0.0000, 0.0000, 0.0000)
Au (0.6677, 0.6677, 0.9969)
Na (0.8533, 0.8533, 0.4402)

Output
* Fermi-level density of states: 0.40 states/eV/atom
* E: -3.489 eV/atom
* SG: R-3m, No. 166

Density functional theory data (PBE) for a relaxed structure of MnVAg2Te.

Lattice parameters (Å, degrees): 5.0753 4.0451 5.0753 90.00 90.00 90.00
Element x y z (fractional)
Ag (0.0000, 0.0000, 0.5000)
V (0.0000, 0.0000, 0.0000)
Mn (0.0000, 0.5000, 0.0000)
Ag (0.5000, 0.0000, 0.0000)
Te (0.5000, 0.5000, 0.5000)

Output
* Fermi-level density of states: 1.14 states/eV/atom
* SG: P4/mmm, No. 123
* uncorrected formation energy: 107.67 kJ/mol of atoms

Density functional theory data (PBE) for a relaxed structure of Na2BPbW.

Lattice parameters (Å, degrees): 4.6976 4.8708 4.6976 90.00 90.00 90.00
Element x y z (fractional)
Na (0.0000, 0.0000, 0.5000)
W (0.5000, 0.5000, 0.5000)
B (0.0000, 0.0000, 0.0000)
Na (0.5000, 0.0000, 0.0000)
Pb (0.0000, 0.5000, 0.0000)

Output
* Fermi-level density of states: 2.20 states/eV/atom
* E: -3.364 eV/atom
* SG: P4/mmm, No. 123